1.
## YBeGa2 (PBE-GGA)

Data for an optimized crystal structure of YBeGa2.

CIF file:
```
data_YBeGa2
_space_group_name_H-M_alt 'P 1'
_space_group_IT_number 1
_cell_length_a 8.448
_cell_length_b 8.448
_cell_length_c 8.448
_cell_angle_alpha 148.42
_cell_angle_beta 148.42
_cell_angle_gamma 45.27
loop_
_space_group_symop_operation_xyz
'x,y,z'
loop_
_atom_site_label
_atom_site_type_symbol
_atom_site_fract_x
_atom_site_fract_y
_atom_site_fract_z
_atom_site_occupancy
Y1 Y 0.000 0.000 0.000 1
Y2 Y 0.750 0.250 0.500 1
Be1 Be 0.250 0.750 0.500 1
Be2 Be 0.500 0.500 0.000 1
Ga1 Ga 0.292 0.625 0.167 1
Ga2 Ga 0.375 0.542 0.667 1
Ga3 Ga 0.458 0.125 0.833 1
Ga4 Ga 0.875 0.708 0.333 1
```

Output
**Raw total energy**: -4.14 eV per atom
**ρ**: 4.78 Mg/m³
**Symmetry**: I-42d
**Formation energy**: -0.078 eV/atom

---

2.
## H2RhBr (PBE-GGA)

Data for an optimized crystal structure of H2RhBr.

CIF file:
```
data_H2RhBr
_space_group_name_H-M_alt 'P 1'
_space_group_IT_number 1
_cell_length_a 3.908
_cell_length_b 3.908
_cell_length_c 3.908
_cell_angle_alpha 60.00
_cell_angle_beta 60.00
_cell_angle_gamma 60.00
loop_
_space_group_symop_operation_xyz
'x,y,z'
loop_
_atom_site_label
_atom_site_type_symbol
_atom_site_fract_x
_atom_site_fract_y
_atom_site_fract_z
_atom_site_occupancy
H1 H 0.250 0.250 0.250 1
H2 H 0.750 0.750 0.750 1
Rh1 Rh 0.000 0.000 0.000 1
Br1 Br 0.500 0.500 0.500 1
```

Output
**Raw total energy**: -2.92 eV per atom
**ρ**: 7.27 Mg/m³
**Offset from the most stable computed form**: 664 meV/atom
**Symmetry**: Fm-3m

---

3.
## SrZrCu2C (PBE-GGA)

Data for an optimized crystal structure of SrZrCu2C.

CIF file:
```
data_SrZrCu2C
_space_group_name_H-M_alt 'P 1'
_space_group_IT_number 1
_cell_length_a 4.093
_cell_length_b 4.093
_cell_length_c 5.058
_cell_angle_alpha 90.00
_cell_angle_beta 90.00
_cell_angle_gamma 90.00
loop_
_space_group_symop_operation_xyz
'x,y,z'
loop_
_atom_site_label
_atom_site_type_symbol
_atom_site_fract_x
_atom_site_fract_y
_atom_site_fract_z
_atom_site_occupancy
Sr1 Sr 0.000 0.000 0.000 1
Zr1 Zr 0.500 0.500 0.000 1
Cu1 Cu 0.000 0.500 0.500 1
Cu2 Cu 0.500 0.000 0.500 1
C1 C 0.000 0.000 0.500 1
```

Output
**Raw total energy**: -4.61 eV per atom
**ρ**: 6.23 Mg/m³
**Symmetry**: P4/mmm
**Formation energy**: 0.921 eV/atom

---

4.
## BaGaBr2 (PBE-GGA)

Data for an optimized crystal structure of BaGaBr2.

CIF file:
```
data_BaGaBr2
_space_group_name_H-M_alt 'P 1'
_space_group_IT_number 1
_cell_length_a 5.649
_cell_length_b 5.649
_cell_length_c 5.649
_cell_angle_alpha 60.00
_cell_angle_beta 60.00
_cell_angle_gamma 60.00
loop_
_space_group_symop_operation_xyz
'x,y,z'
loop_
_atom_site_label
_atom_site_type_symbol
_atom_site_fract_x
_atom_site_fract_y
_atom_site_fract_z
_atom_site_occupancy
Ba1 Ba 0.000 0.000 0.000 1
Ga1 Ga 0.500 0.500 0.500 1
Br1 Br 0.250 0.250 0.250 1
Br2 Br 0.750 0.750 0.750 1
```

Output
**Raw total energy**: -3.21 eV per atom
**ρ**: 4.78 Mg/m³
**Offset from the most stable computed form**: 0 meV/atom
**Symmetry**: Fm-3m
**Formation energy (no corrections)**: -1137 meV per atom

---

5.
## LiHo3Tl2 (PBE-GGA)

Data for an optimized crystal structure of LiHo3Tl2.

CIF file:
```
data_LiHo3Tl2
_space_group_name_H-M_alt 'P 1'
_space_group_IT_number 1
_cell_length_a 5.279
_cell_length_b 5.279
_cell_length_c 13.022
_cell_angle_alpha 90.00
_cell_angle_beta 90.00
_cell_angle_gamma 120.00
loop_
_space_group_symop_operation_xyz
'x,y,z'
loop_
_atom_site_label
_atom_site_type_symbol
_atom_site_fract_x
_atom_site_fract_y
_atom_site_fract_z
_atom_site_occupancy
Li1 Li 0.333 0.667 0.172 1
Li2 Li 0.667 0.333 0.828 1
Ho1 Ho 0.000 0.000 0.250 1
Ho2 Ho 0.000 0.000 0.750 1
Ho3 Ho 0.333 0.667 0.418 1
Ho4 Ho 0.333 0.667 0.921 1
Ho5 Ho 0.667 0.333 0.079 1
Ho6 Ho 0.667 0.333 0.582 1
Tl1 Tl 0.000 0.000 0.000 1
Tl2 Tl 0.000 0.000 0.500 1
Tl3 Tl 0.333 0.667 0.683 1
Tl4 Tl 0.667 0.333 0.317 1
```

Output
**Raw total energy**: -3.64 eV per atom
**ρ**: 9.62 Mg/m³
**Offset from the most stable computed form**: 0 meV/atom
**Symmetry**: P-3m1
**Formation energy**: -0.241 eV/atom

---

6.
## In2SiAg2Se6 (PBE-GGA)

Data for an optimized crystal structure of In2SiAg2Se6.

CIF file:
```
data_In2SiAg2Se6
_space_group_name_H-M_alt 'P 1'
_space_group_IT_number 1
_cell_length_a 7.506
_cell_length_b 7.506
_cell_length_c 12.868
_cell_angle_alpha 106.56
_cell_angle_beta 106.56
_cell_angle_gamma 60.84
loop_
_space_group_symop_operation_xyz
'x,y,z'
loop_
_atom_site_label
_atom_site_type_symbol
_atom_site_fract_x
_atom_site_fract_y
_atom_site_fract_z
_atom_site_occupancy
In1 In 0.061 0.939 0.500 1
In2 In 0.080 0.272 0.800 1
In3 In 0.272 0.080 0.300 1
In4 In 0.939 0.061 0.000 1
Si1 Si 0.160 0.702 0.742 1
Si2 Si 0.702 0.160 0.242 1
Ag1 Ag 0.159 0.563 0.155 1
Ag2 Ag 0.563 0.159 0.655 1
Ag3 Ag 0.563 0.755 0.993 1
Ag4 Ag 0.755 0.563 0.493 1
Se1 Se 0.119 0.598 0.555 1
Se2 Se 0.287 0.814 0.112 1
Se3 Se 0.357 0.410 0.822 1
Se4 Se 0.361 0.874 0.790 1
Se5 Se 0.410 0.357 0.322 1
Se6 Se 0.414 0.929 0.486 1
Se7 Se 0.598 0.119 0.055 1
Se8 Se 0.814 0.287 0.612 1
Se9 Se 0.846 0.872 0.797 1
Se10 Se 0.872 0.846 0.297 1
Se11 Se 0.874 0.361 0.290 1
Se12 Se 0.929 0.414 0.986 1
```

Output
**Raw total energy**: -3.83 eV per atom
**ρ**: 5.26 Mg/m³
**Symmetry**: Cc
**Formation energy (no corrections)**: -423 meV per atom

---

7.
## MoAsAu4 (PBE-GGA)

Data for an optimized crystal structure of MoAsAu4.

CIF file:
```
data_MoAsAu4
_space_group_name_H-M_alt 'P 1'
_space_group_IT_number 1
_cell_length_a 5.500
_cell_length_b 5.500
_cell_length_c 5.500
_cell_angle_alpha 60.00
_cell_angle_beta 60.00
_cell_angle_gamma 60.00
loop_
_space_group_symop_operation_xyz
'x,y,z'
loop_
_atom_site_label
_atom_site_type_symbol
_atom_site_fract_x
_atom_site_fract_y
_atom_site_fract_z
_atom_site_occupancy
Mo1 Mo 0.000 0.000 0.000 1
As1 As 0.750 0.750 0.750 1
Au1 Au 0.375 0.375 0.375 1
Au2 Au 0.375 0.375 0.876 1
Au3 Au 0.375 0.876 0.375 1
Au4 Au 0.876 0.375 0.375 1
```

Output
**Raw total energy**: -4.21 eV per atom
**ρ**: 13.54 Mg/m³
**Symmetry**: F-43m
**Formation energy**: 0.551 eV/atom

---

8.
## NdYTh2Se4 (PBE-GGA)

Data for an optimized crystal structure of NdYTh2Se4.

CIF file:
```
data_NdYTh2Se4
_space_group_name_H-M_alt 'P 1'
_space_group_IT_number 1
_cell_length_a 7.117
_cell_length_b 4.171
_cell_length_c 7.379
_cell_angle_alpha 90.00
_cell_angle_beta 109.22
_cell_angle_gamma 90.00
loop_
_space_group_symop_operation_xyz
'x,y,z'
loop_
_atom_site_label
_atom_site_type_symbol
_atom_site_fract_x
_atom_site_fract_y
_atom_site_fract_z
_atom_site_occupancy
Nd1 Nd 0.000 0.000 0.000 1
Y1 Y 0.500 0.500 0.000 1
Th1 Th 0.000 0.500 0.500 1
Th2 Th 0.500 0.000 0.500 1
Se1 Se 0.254 0.500 0.244 1
Se2 Se 0.259 0.000 0.760 1
Se3 Se 0.741 0.000 0.240 1
Se4 Se 0.746 0.500 0.756 1
```

Output
**Raw total energy**: -6.66 eV per atom
**ρ**: 8.13 Mg/m³
**Symmetry**: P2/m
**Formation energy (no corrections)**: -1655 meV per atom

---

9.
## PmMgZn4 (PBE-GGA)

Data for an optimized crystal structure of PmMgZn4.

CIF file:
```
data_PmMgZn4
_space_group_name_H-M_alt 'P 1'
_space_group_IT_number 1
_cell_length_a 4.363
_cell_length_b 4.363
_cell_length_c 7.066
_cell_angle_alpha 90.00
_cell_angle_beta 90.00
_cell_angle_gamma 120.00
loop_
_space_group_symop_operation_xyz
'x,y,z'
loop_
_atom_site_label
_atom_site_type_symbol
_atom_site_fract_x
_atom_site_fract_y
_atom_site_fract_z
_atom_site_occupancy
Pm1 Pm 0.000 0.000 0.000 1
Mg1 Mg 0.000 0.000 0.500 1
Zn1 Zn 0.333 0.667 0.285 1
Zn2 Zn 0.333 0.667 0.715 1
Zn3 Zn 0.667 0.333 0.285 1
Zn4 Zn 0.667 0.333 0.715 1
```

Output
**Raw total energy**: -2.21 eV per atom
**ρ**: 6.14 Mg/m³
**Offset from the most stable computed form**: 0 meV/atom
**Symmetry**: P6/mmm
**Formation energy**: -0.301 eV/atom

---

10.
## Rb3Pm3SmTe8 (PBE-GGA)

Data for an optimized crystal structure of Rb3Pm3SmTe8.

CIF file:
```
data_Rb3Pm3SmTe8
_space_group_name_H-M_alt 'P 1'
_space_group_IT_number 1
_cell_length_a 10.248
_cell_length_b 10.248
_cell_length_c 10.248
_cell_angle_alpha 52.37
_cell_angle_beta 52.37
_cell_angle_gamma 52.37
loop_
_space_group_symop_operation_xyz
'x,y,z'
loop_
_atom_site_label
_atom_site_type_symbol
_atom_site_fract_x
_atom_site_fract_y
_atom_site_fract_z
_atom_site_occupancy
Rb1 Rb 0.000 0.500 0.500 1
Rb2 Rb 0.500 0.000 0.500 1
Rb3 Rb 0.500 0.500 0.000 1
Pm1 Pm 0.000 0.000 0.500 1
Pm2 Pm 0.000 0.500 0.000 1
Pm3 Pm 0.500 0.000 0.000 1
Sm1 Sm 0.500 0.500 0.500 1
Te1 Te 0.234 0.735 0.735 1
Te2 Te 0.235 0.235 0.235 1
Te3 Te 0.265 0.265 0.766 1
Te4 Te 0.265 0.766 0.265 1
Te5 Te 0.735 0.234 0.735 1
Te6 Te 0.735 0.735 0.234 1
Te7 Te 0.765 0.765 0.765 1
Te8 Te 0.766 0.265 0.265 1
```

Output
**Raw total energy**: -4.46 eV per atom
**ρ**: 4.95 Mg/m³
**Symmetry**: R-3m
**Formation energy (no corrections)**: -1327 meV per atom

---

11.
## Cs2Tl2InHg4 (PBE-GGA)

Data for an optimized crystal structure of Cs2Tl2InHg4.

CIF file:
```
data_Cs2Tl2InHg4
_space_group_name_H-M_alt 'P 1'
_space_group_IT_number 1
_cell_length_a 7.354
_cell_length_b 7.354
_cell_length_c 7.029
_cell_angle_alpha 104.87
_cell_angle_beta 104.87
_cell_angle_gamma 64.85
loop_
_space_group_symop_operation_xyz
'x,y,z'
loop_
_atom_site_label
_atom_site_type_symbol
_atom_site_fract_x
_atom_site_fract_y
_atom_site_fract_z
_atom_site_occupancy
Cs1 Cs 0.128 0.128 0.318 1
Cs2 Cs 0.872 0.872 0.682 1
Tl1 Tl 0.374 0.374 0.841 1
Tl2 Tl 0.626 0.626 0.159 1
In1 In 0.500 0.500 0.500 1
Hg1 Hg 0.097 0.609 0.198 1
Hg2 Hg 0.391 0.903 0.802 1
Hg3 Hg 0.609 0.097 0.198 1
Hg4 Hg 0.903 0.391 0.802 1
```

Output
**Raw total energy**: -1.29 eV per atom
**ρ**: 8.06 Mg/m³
**Symmetry**: C2/m
**Formation energy**: -0.132 eV/atom

---

12.
## RbSr3B (PBE-GGA)

Data for an optimized crystal structure of RbSr3B.

CIF file:
```
data_RbSr3B
_space_group_name_H-M_alt 'P 1'
_space_group_IT_number 1
_cell_length_a 7.338
_cell_length_b 7.338
_cell_length_c 7.338
_cell_angle_alpha 90.00
_cell_angle_beta 90.00
_cell_angle_gamma 90.00
loop_
_space_group_symop_operation_xyz
'x,y,z'
loop_
_atom_site_label
_atom_site_type_symbol
_atom_site_fract_x
_atom_site_fract_y
_atom_site_fract_z
_atom_site_occupancy
Rb1 Rb 0.000 0.000 0.000 1
Sr1 Sr 0.000 0.000 0.500 1
Sr2 Sr 0.000 0.500 0.000 1
Sr3 Sr 0.500 0.000 0.000 1
B1 B 0.500 0.500 0.500 1
```

Output
**Raw total energy**: -0.70 eV per atom
**ρ**: 1.51 Mg/m³
**Offset from the most stable computed form**: 1446 meV/atom
**Symmetry**: Pm-3m
**Formation energy**: 1.837 eV/atom

---

> Which of these has the lowest ρ?

RbSr3B

---

> Which of these has the highest ρ?

MoAsAu4

---

> What is the raw total energy in the tenth record?

-4.46 eV per atom

---

> Look up the raw total energy of the eleventh one.

-1.29 eV per atom